Computed, not measured: Sc3CdIr after structural relaxation at the PBE level of DFT.

Calculated values
total DFT energy (no corrections) = -4.836 eV per atom
energy relative to the elements = 89 kJ per mole of atoms

Lattice parameters (Å, degrees): 5.086 5.086 5.086 90.00 90.00 90.00
Space group Pm-3m (No. 221)
Unique sites:
Sc (0.000, 0.000, 0.500) x3
Cd (0.000, 0.000, 0.000) x1
Ir (0.500, 0.500, 0.500) x1